[1]
# P2OsAu (PBE-GGA, relaxed)
data_P2OsAu
_chemical_formula_sum 'P2 Os1 Au1'
_symmetry_space_group_name_H-M 'P m m m'
_symmetry_Int_Tables_number 47
_symmetry_space_group_name_Hall '-P 2 2'
_cell_length_a 3.0063
_cell_length_b 4.1110
_cell_length_c 4.9946
_cell_angle_alpha 90.00
_cell_angle_beta 90.00
_cell_angle_gamma 90.00
loop_
_atom_site_label
_atom_site_fract_x
_atom_site_fract_y
_atom_site_fract_z
P1 0.0000 0.0000 0.0000
P2 0.5000 0.0000 0.5000
Os1 0.0000 0.5000 0.5000
Au1 0.5000 0.5000 0.0000
# - Formation energy: 785 meV per atom
# - DOS at the Fermi energy: 3.7 states/eV/cell
# - Size of the total moment: 0.0 μB per cell


[2]
# POs2Au (PBE-GGA, relaxed)
data_POs2Au
_chemical_formula_sum 'P2 Os4 Au2'
_symmetry_space_group_name_H-M 'C m m m'
_symmetry_Int_Tables_number 65
_symmetry_space_group_name_Hall '-C 2 2'
_cell_length_a 2.8474
_cell_length_b 4.9456
_cell_length_c 8.6949
_cell_angle_alpha 90.00
_cell_angle_beta 90.00
_cell_angle_gamma 90.00
loop_
_atom_site_label
_atom_site_fract_x
_atom_site_fract_y
_atom_site_fract_z
P1 0.0000 0.0000 0.0000
Os1 0.0000 0.5000 0.2069
Au1 0.0000 0.0000 0.5000
# - Formation energy: 479 meV per atom
# - DOS at the Fermi energy: 6.7 states/eV/cell
# - Size of the total moment: 0.0 μB per cell


[3]
# POs4Au (PBE-GGA, relaxed)
data_POs4Au
_chemical_formula_sum 'P4 Os16 Au4'
_symmetry_space_group_name_H-M 'F -4 3 m'
_symmetry_Int_Tables_number 216
_symmetry_space_group_name_Hall 'F -4 2 3'
_cell_length_a 7.3384
_cell_length_b 7.3384
_cell_length_c 7.3384
_cell_angle_alpha 90.00
_cell_angle_beta 90.00
_cell_angle_gamma 90.00
loop_
_atom_site_label
_atom_site_fract_x
_atom_site_fract_y
_atom_site_fract_z
P1 0.0000 0.0000 0.0000
Os1 0.1252 0.1252 0.3748
Au1 0.2500 0.2500 0.7500
# - Formation energy: 1136 meV per atom
# - DOS at the Fermi energy: 31.7 states/eV/cell
# - Size of the total moment: 0.0 μB per cell


[4]
# POs2Au (PBE-GGA, relaxed)
data_POs2Au
_chemical_formula_sum 'P1 Os2 Au1'
_symmetry_space_group_name_H-M 'P 4 m m'
_symmetry_Int_Tables_number 99
_symmetry_space_group_name_Hall 'P 4 -2'
_cell_length_a 2.8014
_cell_length_b 2.8014
_cell_length_c 8.2033
_cell_angle_alpha 90.00
_cell_angle_beta 90.00
_cell_angle_gamma 90.00
loop_
_atom_site_label
_atom_site_fract_x
_atom_site_fract_y
_atom_site_fract_z
P1 0.0000 0.0000 0.0000
Os1 0.0000 0.0000 0.5902
Os2 0.5000 0.5000 0.8105
Au1 0.5000 0.5000 0.3340
# - Formation energy: 333 meV per atom
# - DOS at the Fermi energy: 3.2 states/eV/cell
# - Size of the total moment: 0.0 μB per cell


[5]
# POs2Au (PBE-GGA, relaxed)
data_POs2Au
_chemical_formula_sum 'P2 Os4 Au2'
_symmetry_space_group_name_H-M 'I -4 m 2'
_symmetry_Int_Tables_number 119
_symmetry_space_group_name_Hall 'I -4 -2'
_cell_length_a 3.9004
_cell_length_b 3.9004
_cell_length_c 7.8616
_cell_angle_alpha 90.00
_cell_angle_beta 90.00
_cell_angle_gamma 90.00
loop_
_atom_site_label
_atom_site_fract_x
_atom_site_fract_y
_atom_site_fract_z
P1 0.0000 0.0000 0.0000
Os1 0.0000 0.0000 0.5000
Os2 0.0000 0.5000 0.2500
Au1 0.0000 0.5000 0.7500
# - Formation energy: 806 meV per atom
# - DOS at the Fermi energy: 6.8 states/eV/cell
# - Size of the total moment: 0.0 μB per cell


[6]
# POsAu2 (PBE-GGA, relaxed)
data_POsAu2
_chemical_formula_sum 'P1 Os1 Au2'
_symmetry_space_group_name_H-M 'P 1 2/m 1'
_symmetry_Int_Tables_number 10
_symmetry_space_group_name_Hall '-P 2y'
_cell_length_a 2.9859
_cell_length_b 5.0345
_cell_length_c 4.6011
_cell_angle_alpha 90.00
_cell_angle_beta 92.77
_cell_angle_gamma 90.00
loop_
_atom_site_label
_atom_site_fract_x
_atom_site_fract_y
_atom_site_fract_z
P1 0.0000 0.0000 0.0000
Os1 0.0000 0.0000 0.5000
Au1 0.2543 0.5000 0.2517
# - Formation energy: 565 meV per atom
# - DOS at the Fermi energy: 2.7 states/eV/cell
# - Size of the total moment: 0.0 μB per cell


[7]
# POs3Au (PBE-GGA, relaxed)
data_POs3Au
_chemical_formula_sum 'P1 Os3 Au1'
_symmetry_space_group_name_H-M 'P m -3 m'
_symmetry_Int_Tables_number 221
_symmetry_space_group_name_Hall '-P 4 2 3'
_cell_length_a 4.3729
_cell_length_b 4.3729
_cell_length_c 4.3729
_cell_angle_alpha 90.00
_cell_angle_beta 90.00
_cell_angle_gamma 90.00
loop_
_atom_site_label
_atom_site_fract_x
_atom_site_fract_y
_atom_site_fract_z
P1 0.0000 0.0000 0.0000
Os1 0.0000 0.0000 0.5000
Au1 0.5000 0.5000 0.5000
# - Formation energy: 1030 meV per atom
# - DOS at the Fermi energy: 3.2 states/eV/cell
# - Size of the total moment: 1.7 μB per cell


[8]
# POsAu2 (PBE-GGA, relaxed)
data_POsAu2
_chemical_formula_sum 'P1 Os1 Au2'
_symmetry_space_group_name_H-M 'P 4/m m m'
_symmetry_Int_Tables_number 123
_symmetry_space_group_name_Hall '-P 4 2'
_cell_length_a 5.0155
_cell_length_b 5.0155
_cell_length_c 2.6692
_cell_angle_alpha 90.00
_cell_angle_beta 90.00
_cell_angle_gamma 90.00
loop_
_atom_site_label
_atom_site_fract_x
_atom_site_fract_y
_atom_site_fract_z
P1 0.0000 0.0000 0.0000
Os1 0.5000 0.5000 0.0000
Au1 0.0000 0.5000 0.5000
# - Formation energy: 776 meV per atom
# - DOS at the Fermi energy: 2.5 states/eV/cell
# - Size of the total moment: 0.0 μB per cell


[9]
# POs2Au (PBE-GGA, relaxed)
data_POs2Au
_chemical_formula_sum 'P1 Os2 Au1'
_symmetry_space_group_name_H-M 'P m m m'
_symmetry_Int_Tables_number 47
_symmetry_space_group_name_Hall '-P 2 2'
_cell_length_a 2.8078
_cell_length_b 4.6096
_cell_length_c 4.7340
_cell_angle_alpha 90.00
_cell_angle_beta 90.00
_cell_angle_gamma 90.00
loop_
_atom_site_label
_atom_site_fract_x
_atom_site_fract_y
_atom_site_fract_z
P1 0.0000 0.0000 0.0000
Os1 0.0000 0.5000 0.5000
Os2 0.5000 0.5000 0.0000
Au1 0.5000 0.0000 0.5000
# - Formation energy: 825 meV per atom
# - DOS at the Fermi energy: 4.0 states/eV/cell
# - Size of the total moment: 0.0 μB per cell


[10]
# P2OsAu (PBE-GGA, relaxed)
data_P2OsAu
_chemical_formula_sum 'P4 Os2 Au2'
_symmetry_space_group_name_H-M 'I m m m'
_symmetry_Int_Tables_number 71
_symmetry_space_group_name_Hall '-I 2 2'
_cell_length_a 2.8422
_cell_length_b 4.7543
_cell_length_c 10.7665
_cell_angle_alpha 90.00
_cell_angle_beta 90.00
_cell_angle_gamma 90.00
loop_
_atom_site_label
_atom_site_fract_x
_atom_site_fract_y
_atom_site_fract_z
P1 0.0000 0.0000 0.1767
Os1 0.0000 0.5000 0.5000
Au1 0.0000 0.5000 0.0000
# - Formation energy: 380 meV per atom
# - DOS at the Fermi energy: 6.7 states/eV/cell
# - Size of the total moment: 0.0 μB per cell


[11]
# POs2Au (PBE-GGA, relaxed)
data_POs2Au
_chemical_formula_sum 'P2 Os4 Au2'
_symmetry_space_group_name_H-M 'C 1 2/m 1'
_symmetry_Int_Tables_number 12
_symmetry_space_group_name_Hall '-C 2y'
_cell_length_a 5.4483
_cell_length_b 9.1802
_cell_length_c 2.8088
_cell_angle_alpha 90.00
_cell_angle_beta 119.49
_cell_angle_gamma 90.00
loop_
_atom_site_label
_atom_site_fract_x
_atom_site_fract_y
_atom_site_fract_z
P1 0.0000 0.0000 0.0000
Os1 0.2500 0.2500 0.5000
Au1 0.0000 0.5000 0.0000
# - Formation energy: 819 meV per atom
# - DOS at the Fermi energy: 8.1 states/eV/cell
# - Size of the total moment: 0.0 μB per cell


[12]
# POsAu2 (PBE-GGA, relaxed)
data_POsAu2
_chemical_formula_sum 'P2 Os2 Au4'
_symmetry_space_group_name_H-M 'C m m 2'
_symmetry_Int_Tables_number 35
_symmetry_space_group_name_Hall 'C 2 -2'
_cell_length_a 2.8851
_cell_length_b 4.8319
_cell_length_c 10.1707
_cell_angle_alpha 90.00
_cell_angle_beta 90.00
_cell_angle_gamma 90.00
loop_
_atom_site_label
_atom_site_fract_x
_atom_site_fract_y
_atom_site_fract_z
P1 0.0000 0.0000 0.0000
Os1 0.0000 0.5000 0.8241
Au1 0.0000 0.0000 0.5754
Au2 0.0000 0.5000 0.3155
# - Formation energy: 334 meV per atom
# - DOS at the Fermi energy: 6.1 states/eV/cell
# - Size of the total moment: 0.0 μB per cell


[13]
# P2OsAu (PBE-GGA, relaxed)
data_P2OsAu
_chemical_formula_sum 'P4 Os2 Au2'
_symmetry_space_group_name_H-M 'I 4/m m m'
_symmetry_Int_Tables_number 139
_symmetry_space_group_name_Hall '-I 4 2'
_cell_length_a 4.1301
_cell_length_b 4.1301
_cell_length_c 6.9410
_cell_angle_alpha 90.00
_cell_angle_beta 90.00
_cell_angle_gamma 90.00
loop_
_atom_site_label
_atom_site_fract_x
_atom_site_fract_y
_atom_site_fract_z
P1 0.0000 0.5000 0.2500
Os1 0.0000 0.0000 0.0000
Au1 0.0000 0.0000 0.5000
# - Formation energy: 586 meV per atom
# - DOS at the Fermi energy: 6.1 states/eV/cell
# - Size of the total moment: 0.0 μB per cell


[14]
# P3OsAu (PBE-GGA, relaxed)
data_P3OsAu
_chemical_formula_sum 'P3 Os1 Au1'
_symmetry_space_group_name_H-M 'P m -3 m'
_symmetry_Int_Tables_number 221
_symmetry_space_group_name_Hall '-P 4 2 3'
_cell_length_a 4.6065
_cell_length_b 4.6065
_cell_length_c 4.6065
_cell_angle_alpha 90.00
_cell_angle_beta 90.00
_cell_angle_gamma 90.00
loop_
_atom_site_label
_atom_site_fract_x
_atom_site_fract_y
_atom_site_fract_z
P1 0.0000 0.0000 0.5000
Os1 0.0000 0.0000 0.0000
Au1 0.5000 0.5000 0.5000
# - Formation energy: 817 meV per atom
# - DOS at the Fermi energy: 2.8 states/eV/cell
# - Size of the total moment: 0.0 μB per cell


[15]
# POs2Au (PBE-GGA, relaxed)
data_POs2Au
_chemical_formula_sum 'P1 Os2 Au1'
_symmetry_space_group_name_H-M 'P m m 2'
_symmetry_Int_Tables_number 25
_symmetry_space_group_name_Hall 'P 2 -2'
_cell_length_a 2.8253
_cell_length_b 3.8288
_cell_length_c 5.7797
_cell_angle_alpha 90.00
_cell_angle_beta 90.00
_cell_angle_gamma 90.00
loop_
_atom_site_label
_atom_site_fract_x
_atom_site_fract_y
_atom_site_fract_z
P1 0.0000 0.0000 0.0000
Os1 0.0000 0.0000 0.6014
Os2 0.5000 0.5000 0.8125
Au1 0.5000 0.5000 0.3259
# - Formation energy: 470 meV per atom
# - DOS at the Fermi energy: 2.5 states/eV/cell
# - Size of the total moment: 0.0 μB per cell